No. 1
# LaNd2TaN4

A relaxed structure of LaNd2TaN4 (PBE, Alexandria via LeMat-Bulk).

The total magnetization comes out at 0.0 μB/f.u. Its total energy is -8.626 eV per atom. The value obtained for the density of states at the Fermi level is 2.90 states/eV/f.u. As for the raw formation energy: -1174 meV per atom.

The structure belongs to space group Cmcm (No. 63); the cell edges are 3.508, 12.396 and 12.577 Å and the angles 90.00°, 90.00° and 90.00°. The distinct sites, in fractional coordinates, are La at (0.000, 0.096, 0.250), Nd at (0.000, 0.370, 0.035), Ta at (0.000, 0.166, 0.750), N at (0.000, 0.000, 0.000), N at (0.000, 0.265, 0.631) and N at (0.000, 0.427, 0.250).


No. 2
# LaTbNdN3

A relaxed structure of LaTbNdN3 (PBE, Alexandria via LeMat-Bulk).

The total magnetization comes out at 0.0 μB/f.u. Its total energy is -7.876 eV per atom. As for the raw formation energy: -1326 meV per atom.

The structure belongs to space group P2_1/m (No. 11); the cell edges are 6.221, 3.623 and 9.332 Å and the angles 90.00°, 101.70° and 90.00°. The distinct sites, in fractional coordinates, are La at (0.149, 0.250, 0.196), Tb at (0.354, 0.250, 0.861), Nd at (0.271, 0.750, 0.546), N at (0.036, 0.250, 0.678), N at (0.257, 0.750, 0.986) and N at (0.469, 0.750, 0.344).


No. 3
# LaNd2TcN4

A relaxed structure of LaNd2TcN4 (PBE, Alexandria via LeMat-Bulk).

The total magnetization comes out at 0.0 μB/f.u. Its total energy is -8.207 eV per atom. The value obtained for the density of states at the Fermi level is 2.36 states/eV/f.u. As for the raw formation energy: -940 meV per atom.

The structure belongs to space group Cmcm (No. 63); the cell edges are 3.561, 12.146 and 12.092 Å and the angles 90.00°, 90.00° and 90.00°. The distinct sites, in fractional coordinates, are La at (0.000, 0.120, 0.250), Nd at (0.000, 0.368, 0.041), Tc at (0.000, 0.149, 0.750), N at (0.000, 0.000, 0.000), N at (0.000, 0.268, 0.634) and N at (0.000, 0.425, 0.250).


No. 4
# La4Nd2Te3N2

A relaxed structure of La4Nd2Te3N2 (PBE, Alexandria via LeMat-Bulk).

The total magnetization comes out at 0.0 μB/f.u. Its total energy is -6.274 eV per atom. The value obtained for the density of states at the Fermi level is 6.18 states/eV/f.u. As for the raw formation energy: -1245 meV per atom.

The structure belongs to space group I4/mmm (No. 139); the cell edges are 4.763, 4.763 and 27.227 Å and the angles 90.00°, 90.00° and 90.00°. The distinct sites, in fractional coordinates, are La at (0.000, 0.500, 0.086), Nd at (0.000, 0.000, 0.197), Te at (0.000, 0.000, 0.320), Te at (0.000, 0.000, 0.500) and N at (0.000, 0.000, 0.111).


No. 5
# LaNdTeN

A relaxed structure of LaNdTeN (PBE, Alexandria via LeMat-Bulk).

The total magnetization comes out at 1.0 μB/f.u. Its total energy is -6.659 eV per atom. The value obtained for the density of states at the Fermi level is 1.18 states/eV/f.u. As for the raw formation energy: -1369 meV per atom.

The structure belongs to space group Imm2 (No. 44); the cell edges are 3.941, 3.972 and 13.510 Å and the angles 90.00°, 90.00° and 90.00°. The distinct sites, in fractional coordinates, are La at (0.000, 0.000, 0.000), Nd at (0.000, 0.000, 0.303), Te at (0.000, 0.000, 0.657) and N at (0.000, 0.500, 0.903).


No. 6
# LaNd3Th2N6

A relaxed structure of LaNd3Th2N6 (PBE, Alexandria via LeMat-Bulk).

The total magnetization comes out at 0.0 μB/f.u. Its total energy is -8.477 eV per atom. The value obtained for the density of states at the Fermi level is 2.84 states/eV/f.u. As for the raw formation energy: -1475 meV per atom.

The structure belongs to space group C2/m (No. 12); the cell edges are 15.981, 3.678 and 7.342 Å and the angles 90.00°, 103.09° and 90.00°. The distinct sites, in fractional coordinates, are La at (0.000, 0.000, 0.000), Nd at (0.000, 0.000, 0.500), Nd at (0.166, 0.500, 0.835), Th at (0.166, 0.500, 0.332), N at (0.006, 0.500, 0.257), N at (0.169, 0.000, 0.096) and N at (0.170, 0.000, 0.575).


No. 7
# La2NdThN4

A relaxed structure of La2NdThN4 (PBE, Alexandria via LeMat-Bulk).

The total magnetization comes out at 0.0 μB/f.u. Its total energy is -8.364 eV per atom. The value obtained for the density of states at the Fermi level is 2.26 states/eV/f.u. As for the raw formation energy: -1446 meV per atom.

The structure belongs to space group P2/m (No. 10); the cell edges are 6.391, 3.702 and 6.421 Å and the angles 90.00°, 109.31° and 90.00°. The distinct sites, in fractional coordinates, are La at (0.000, 0.000, 0.000), La at (0.500, 0.500, 0.000), Nd at (0.000, 0.500, 0.500), Th at (0.500, 0.000, 0.500), N at (0.255, 0.000, 0.739) and N at (0.263, 0.500, 0.266).


No. 8
# LaNd2ThN4

A relaxed structure of LaNd2ThN4 (PBE, Alexandria via LeMat-Bulk).

The total magnetization comes out at 0.0 μB/f.u. Its total energy is -8.348 eV per atom. The value obtained for the density of states at the Fermi level is 1.98 states/eV/f.u. As for the raw formation energy: -1450 meV per atom.

The structure belongs to space group P2/m (No. 10); the cell edges are 6.357, 3.682 and 6.375 Å and the angles 90.00°, 109.39° and 90.00°. The distinct sites, in fractional coordinates, are La at (0.000, 0.000, 0.000), Nd at (0.500, 0.000, 0.500), Nd at (0.500, 0.500, 0.000), Th at (0.000, 0.500, 0.500), N at (0.241, 0.000, 0.738) and N at (0.246, 0.500, 0.260).


No. 9
# LaNd2Th3N6

A relaxed structure of LaNd2Th3N6 (PBE, Alexandria via LeMat-Bulk).

The total magnetization comes out at 0.0 μB/f.u. Its total energy is -8.735 eV per atom. The value obtained for the density of states at the Fermi level is 4.29 states/eV/f.u. As for the raw formation energy: -1512 meV per atom.

The structure belongs to space group C2/m (No. 12); the cell edges are 6.375, 11.033 and 6.357 Å and the angles 90.00°, 109.54° and 90.00°. The distinct sites, in fractional coordinates, are La at (0.000, 0.000, 0.000), Nd at (0.000, 0.334, 0.000), Th at (0.000, 0.167, 0.500), Th at (0.000, 0.500, 0.500), N at (0.242, 0.332, 0.731) and N at (0.247, 0.000, 0.732).


No. 10
# LaNd2TiN4

A relaxed structure of LaNd2TiN4 (PBE, Alexandria via LeMat-Bulk).

The total magnetization comes out at 0.0 μB/f.u. Its total energy is -8.274 eV per atom. The value obtained for the density of states at the Fermi level is 2.95 states/eV/f.u. As for the raw formation energy: -1317 meV per atom.

The structure belongs to space group Cmcm (No. 63); the cell edges are 3.525, 12.157 and 12.368 Å and the angles 90.00°, 90.00° and 90.00°. The distinct sites, in fractional coordinates, are La at (0.000, 0.099, 0.250), Nd at (0.000, 0.369, 0.040), Ti at (0.000, 0.168, 0.750), N at (0.000, 0.000, 0.000), N at (0.000, 0.267, 0.632) and N at (0.000, 0.422, 0.250).


No. 11
# LaNd2TlN

A relaxed structure of LaNd2TlN (PBE, Alexandria via LeMat-Bulk).

The total magnetization comes out at 0.0 μB/f.u. Its total energy is -5.849 eV per atom. The value obtained for the density of states at the Fermi level is 2.66 states/eV/f.u. As for the raw formation energy: -818 meV per atom.

The structure belongs to space group P4/mmm (No. 123); the cell edges are 5.072, 5.072 and 5.082 Å and the angles 90.00°, 90.00° and 90.00°. The distinct sites, in fractional coordinates, are La at (0.000, 0.000, 0.000), Nd at (0.000, 0.500, 0.500), Tl at (0.500, 0.500, 0.000) and N at (0.000, 0.000, 0.500).


No. 12
# La2NdTlN

A relaxed structure of La2NdTlN (PBE, Alexandria via LeMat-Bulk).

The total magnetization comes out at 0.0 μB/f.u. Its total energy is -5.892 eV per atom. The value obtained for the density of states at the Fermi level is 2.74 states/eV/f.u. As for the raw formation energy: -829 meV per atom.

The structure belongs to space group P4/mmm (No. 123); the cell edges are 5.112, 5.112 and 5.100 Å and the angles 90.00°, 90.00° and 90.00°. The distinct sites, in fractional coordinates, are La at (0.000, 0.500, 0.000), Nd at (0.000, 0.000, 0.500), Tl at (0.500, 0.500, 0.500) and N at (0.000, 0.000, 0.000).


No. 13
# La2Nd3UN6

A relaxed structure of La2Nd3UN6 (PBE, Alexandria via LeMat-Bulk).

The total magnetization comes out at 0.0 μB/f.u. Its total energy is -8.527 eV per atom. The value obtained for the density of states at the Fermi level is 5.59 states/eV/f.u. As for the raw formation energy: -1410 meV per atom.

The structure belongs to space group C2/m (No. 12); the cell edges are 6.315, 10.941 and 6.257 Å and the angles 90.00°, 109.65° and 90.00°. The distinct sites, in fractional coordinates, are La at (0.000, 0.167, 0.000), Nd at (0.000, 0.000, 0.500), Nd at (0.000, 0.336, 0.500), U at (0.000, 0.500, 0.000), N at (0.220, 0.500, 0.765) and N at (0.223, 0.354, 0.228).


No. 14
# La3Nd4UN8

A relaxed structure of La3Nd4UN8 (PBE, Alexandria via LeMat-Bulk).

The total magnetization comes out at 0.2 μB/f.u. Its total energy is -8.345 eV per atom. The value obtained for the density of states at the Fermi level is 7.89 states/eV/f.u. As for the raw formation energy: -1361 meV per atom.

The structure belongs to space group R-3m (No. 166, hexagonal axes); the cell edges are 7.3170, 7.3170 and 17.7961 Å and the angles 90.00°, 90.00° and 120.00°. The distinct sites, in fractional coordinates, are La at (0.0000, 0.5000, 0.0000), Nd at (0.0000, 0.0000, 0.5000), Nd at (0.0000, 0.5000, 0.5000), U at (0.0000, 0.0000, 0.0000), N at (0.0000, 0.0000, 0.2487) and N at (0.0365, 0.5182, 0.7426).


No. 15
# LaNdUN4

A relaxed structure of LaNdUN4 (PBE, Alexandria via LeMat-Bulk).

The total magnetization comes out at 0.0 μB/f.u. Its total energy is -9.073 eV per atom. As for the raw formation energy: -1318 meV per atom.

The structure belongs to space group Cmcm (No. 63); the cell edges are 6.003, 12.864 and 6.008 Å and the angles 90.00°, 90.00° and 90.00°. The distinct sites, in fractional coordinates, are La at (0.000, 0.100, 0.250), Nd at (0.000, 0.398, 0.250), U at (0.000, 0.251, 0.750), N at (0.000, 0.079, 0.750), N at (0.000, 0.423, 0.750) and N at (0.250, 0.250, 0.000).


No. 16
# La2NdVN4

A relaxed structure of La2NdVN4 (PBE, Alexandria via LeMat-Bulk).

The total magnetization comes out at 0.0 μB/f.u. Its total energy is -8.263 eV per atom. The value obtained for the density of states at the Fermi level is 3.79 states/eV/f.u. As for the raw formation energy: -1132 meV per atom.

The structure belongs to space group Cmcm (No. 63); the cell edges are 3.483, 11.990 and 12.630 Å and the angles 90.00°, 90.00° and 90.00°. The distinct sites, in fractional coordinates, are La at (0.000, 0.133, 0.042), Nd at (0.000, 0.411, 0.250), V at (0.000, 0.322, 0.750), N at (0.000, 0.085, 0.250), N at (0.000, 0.226, 0.640) and N at (0.000, 0.500, 0.000).


No. 17
# La2NdWN4

A relaxed structure of La2NdWN4 (PBE, Alexandria via LeMat-Bulk).

The total magnetization comes out at 0.0 μB/f.u. Its total energy is -8.535 eV per atom. The value obtained for the density of states at the Fermi level is 3.89 states/eV/f.u. As for the raw formation energy: -926 meV per atom.

The structure belongs to space group Cmcm (No. 63); the cell edges are 3.480, 12.236 and 12.859 Å and the angles 90.00°, 90.00° and 90.00°. The distinct sites, in fractional coordinates, are La at (0.000, 0.132, 0.038), Nd at (0.000, 0.415, 0.250), W at (0.000, 0.325, 0.750), N at (0.000, 0.074, 0.250), N at (0.000, 0.227, 0.636) and N at (0.000, 0.500, 0.000).


No. 18
# LaNd2WN4

A relaxed structure of LaNd2WN4 (PBE, Alexandria via LeMat-Bulk).

The total magnetization comes out at 0.0 μB/f.u. Its total energy is -8.580 eV per atom. The value obtained for the density of states at the Fermi level is 3.32 states/eV/f.u. As for the raw formation energy: -990 meV per atom.

The structure belongs to space group Cmcm (No. 63); the cell edges are 3.506, 12.289 and 12.480 Å and the angles 90.00°, 90.00° and 90.00°. The distinct sites, in fractional coordinates, are La at (0.000, 0.083, 0.250), Nd at (0.000, 0.370, 0.038), W at (0.000, 0.174, 0.750), N at (0.000, 0.000, 0.000), N at (0.000, 0.267, 0.629) and N at (0.000, 0.423, 0.250).


No. 19
# LaNdY2N4

A relaxed structure of LaNdY2N4 (PBE, Alexandria via LeMat-Bulk).

The total magnetization comes out at 0.0 μB/f.u. Its total energy is -8.478 eV per atom. The value obtained for the density of states at the Fermi level is 0.29 states/eV/f.u. As for the raw formation energy: -1487 meV per atom.

The structure belongs to space group P2/m (No. 10); the cell edges are 6.217, 3.588 and 6.230 Å and the angles 90.00°, 109.39° and 90.00°. The distinct sites, in fractional coordinates, are La at (0.000, 0.000, 0.000), Nd at (0.500, 0.500, 0.000), Y at (0.000, 0.500, 0.500), Y at (0.500, 0.000, 0.500), N at (0.248, 0.000, 0.739) and N at (0.256, 0.500, 0.263).


No. 20
# LaNdYN3

A relaxed structure of LaNdYN3 (PBE, Alexandria via LeMat-Bulk).

The total magnetization comes out at 0.0 μB/f.u. Its total energy is -8.191 eV per atom. As for the raw formation energy: -1335 meV per atom.

The structure belongs to space group P2_1/m (No. 11); the cell edges are 6.207, 3.626 and 9.312 Å and the angles 90.00°, 101.75° and 90.00°. The distinct sites, in fractional coordinates, are La at (0.147, 0.250, 0.195), Nd at (0.270, 0.750, 0.546), Y at (0.356, 0.250, 0.861), N at (0.037, 0.250, 0.678), N at (0.259, 0.750, 0.986) and N at (0.469, 0.750, 0.344).